## V6GaTc (PBE)

Data for a relaxed structure of V6GaTc.

The calculation puts the energy of formation from the pure elements at -0.2010 eV/atom. The density comes out at 7.176 Mg/m³. As for the total energy: -8.714 eV/atom.

It has space group Pm-3 (No. 200), with a = 4.785 Å, b = 4.785 Å, c = 4.785 Å, α = 90.00°, β = 90.00° and γ = 90.00°. The asymmetric unit holds V at (0.000, 0.254, 0.500), Ga at (0.000, 0.000, 0.000) and Tc at (0.500, 0.500, 0.500).

## BaScGa2 (PBE)

Data for a relaxed structure of BaScGa2.

The calculation puts the energy of formation from the pure elements at -0.0008 eV/atom. The density comes out at 4.007 Mg/m³. As for the total energy: -3.578 eV/atom.

It has space group I-42d (No. 122), with a = 5.280 Å, b = 5.280 Å, c = 19.127 Å, α = 90.00°, β = 90.00° and γ = 90.00°. The asymmetric unit holds Ba at (0.000, 0.000, 0.000), Sc at (0.000, 0.000, 0.500) and Ga at (0.058, 0.250, 0.625).

## K3Nb2Cu3S8 (PBE)

Data for a relaxed structure of K3Nb2Cu3S8.

The density comes out at 2.924 Mg/m³. The uncorrected formation energy is -962 meV/atom. As for the total energy: -5.258 eV/atom.

It has space group C2/c (No. 15), with a = 24.074 Å, b = 5.582 Å, c = 14.433 Å, α = 90.00°, β = 118.51° and γ = 90.00°. The asymmetric unit holds K at (0.000, 0.000, 0.000), K at (0.200, 0.449, 0.101), Nb at (0.123, 0.292, 0.775), Cu at (0.000, 0.287, 0.750), Cu at (0.119, 0.209, 0.275), S at (0.038, 0.472, 0.160), S at (0.087, 0.055, 0.868), S at (0.153, 0.039, 0.681) and S at (0.203, 0.457, 0.383).

## Sr2ScBe (PBE)

Data for a relaxed structure of Sr2ScBe.

The calculation puts the energy of formation from the pure elements at 0.3775 eV/atom. The density comes out at 2.993 Mg/m³. As for the total energy: -2.978 eV/atom.

It has space group Imm2 (No. 44), with a = 3.663 Å, b = 5.706 Å, c = 12.170 Å, α = 90.00°, β = 90.00° and γ = 90.00°. The asymmetric unit holds Sr at (0.000, 0.000, 0.000), Sr at (0.000, 0.500, 0.199), Sc at (0.000, 0.500, 0.818) and Be at (0.000, 0.000, 0.476).

## K3Rh2 (PBE)

Data for a relaxed structure of K3Rh2.

The calculation puts the energy of formation from the pure elements at 0.8563 eV/atom. The density comes out at 4.223 Mg/m³. As for the total energy: -2.743 eV/atom.

It has space group R-3m (No. 166, hexagonal axes), with a = 3.1590 Å, b = 3.1590 Å, c = 44.1003 Å, α = 90.00°, β = 90.00° and γ = 120.00°. The asymmetric unit holds K at (0.0000, 0.0000, 0.0000), K at (0.0000, 0.0000, 0.2158) and Rh at (0.0000, 0.0000, 0.3941).

## As2IrSe (PBE)

Data for a relaxed structure of As2IrSe.

The density comes out at 8.537 Mg/m³. The uncorrected formation energy is 181 meV/atom. As for the total energy: -5.230 eV/atom.

It has space group Imm2 (No. 44), with a = 3.567 Å, b = 4.069 Å, c = 11.285 Å, α = 90.00°, β = 90.00° and γ = 90.00°. The asymmetric unit holds As at (0.000, 0.000, 0.000), As at (0.000, 0.500, 0.148), Ir at (0.000, 0.500, 0.668) and Se at (0.000, 0.000, 0.330).

## SrTeIr (PBE)

Data for a relaxed structure of SrTeIr.

The density comes out at 8.431 Mg/m³. The uncorrected formation energy is -640 meV/atom. As for the total energy: -5.202 eV/atom.

It has space group P-6m2 (No. 187), with a = 4.4852 Å, b = 4.4852 Å, c = 4.6062 Å, α = 90.00°, β = 90.00° and γ = 120.00°. The asymmetric unit holds Sr at (0.0000, 0.0000, 0.0000), Te at (0.6667, 0.3333, 0.5000) and Ir at (0.3333, 0.6667, 0.5000).

## KTaCl2 (PBE)

Data for a relaxed structure of KTaCl2.

The density comes out at 5.077 Mg/m³. The uncorrected formation energy is -166 meV/atom. As for the total energy: -4.327 eV/atom.

It has space group P4mm (No. 99), with a = 3.197 Å, b = 3.197 Å, c = 9.313 Å, α = 90.00°, β = 90.00° and γ = 90.00°. The asymmetric unit holds K at (0.000, 0.000, 0.000), Ta at (0.500, 0.500, 0.367), Cl at (0.000, 0.000, 0.513) and Cl at (0.500, 0.500, 0.804).